No. 1
BaTeSe2 | PBEsol | relaxed

Unit cell a=4.4112 b=4.4112 c=11.2712 alpha=90.00 beta=90.00 gamma=90.00
Last column: nearest neighbours and their distance in Å.
Space group I-4m2 (No. 119)
Unique sites:
Ba 0.0000 0.0000 0.0000  4 Se 3.12
Te 0.0000 0.5000 0.7500  4 Se 3.12
Se 0.0000 0.0000 0.5000  4 Ba 3.12
Se 0.0000 0.5000 0.2500  4 Te 3.12

Results
**Final energy**: -4.144 eV/atom
**Uncorrected formation energy**: -3.202 eV per formula unit

---

No. 2
BaTeSe2 | PBEsol | relaxed

Unit cell a=4.4023 b=3.9710 c=7.0975 alpha=90.00 beta=105.75 gamma=90.00
Last column: nearest neighbours and their distance in Å.
Space group P2/m (No. 10)
Unique sites:
Ba 0.0000 0.0000 0.0000  8 Se 3.37-3.41, 2 Te 3.63
Te 0.5000 0.0000 0.5000  4 Se 2.82
Se 0.4011 0.5000 0.7582  2 Te 2.82

Results
**Final energy**: -4.318 eV/atom
**Uncorrected formation energy**: -3.895 eV per formula unit

---

No. 3
Ba2YTeSe | PBEsol | relaxed

Unit cell a=6.1610 b=6.1610 c=5.2378 alpha=90.00 beta=90.00 gamma=90.00
Last column: nearest neighbours and their distance in Å.
Space group P4/mmm (No. 123)
Unique sites:
Ba 0.0000 0.5000 0.0000  2 Se 3.08
Y 0.0000 0.0000 0.5000  2 Se 2.62
Te 0.5000 0.5000 0.5000  8 Ba 4.04, 4 Y 4.36
Se 0.0000 0.0000 0.0000  2 Y 2.62

Results
**Final energy**: -4.614 eV/atom
**Uncorrected formation energy**: -4.574 eV per formula unit

---

No. 4
BaTlSe2 | PBEsol | relaxed

Unit cell a=4.5102 b=4.2288 c=12.7437 alpha=90.00 beta=90.00 gamma=90.00
Last column: nearest neighbours and their distance in Å.
Space group Amm2 (No. 38)
Unique sites:
Ba 0.0000 0.0000 0.0000  6 Se 3.16-3.41
Tl 0.5000 0.0000 0.7614  1 Se 2.68
Se 0.0000 0.0000 0.2897  4 Tl 3.11, 2 Ba 3.41
Se 0.5000 0.0000 0.5512  1 Tl 2.68

Results
**Final energy**: -4.196 eV/atom
**Uncorrected formation energy**: -4.304 eV per formula unit

---

No. 5
BaTlSe2 | PBEsol | relaxed

Unit cell a=4.4738 b=6.3371 c=4.4759 alpha=90.00 beta=90.02 gamma=90.00
Last column: nearest neighbours and their distance in Å.
Space group Pm (No. 6)
Unique sites:
Ba 0.0000 0.0000 0.0000  6 Se 3.16-3.17
Tl 0.5012 0.5000 0.5002  6 Se 3.10-3.23
Se 0.0009 0.5000 0.9791  4 Tl 3.10-3.23, 2 Ba 3.17
Se 0.5001 0.0000 0.4985  4 Ba 3.16-3.17, 2 Tl 3.17

Results
**Final energy**: -4.176 eV/atom
**Uncorrected formation energy**: -4.225 eV per formula unit

---

No. 6
BaWSe | PBEsol | relaxed

Unit cell a=7.5210 b=7.5210 c=7.5210 alpha=90.00 beta=90.00 gamma=90.00
Last column: nearest neighbours and their distance in Å.
Space group F-43m (No. 216)
Unique sites:
Ba 0.0000 0.0000 0.0000  4 Se 3.26, 4 W 3.26
W 0.2500 0.2500 0.2500  4 Ba 3.26
Se 0.2500 0.2500 0.7500  4 Ba 3.26

Results
**Final energy**: -5.029 eV/atom
**Uncorrected formation energy**: 4.720 eV per formula unit

---

No. 7
BaW2Se | PBEsol | relaxed

Unit cell a=2.9356 b=5.1882 c=10.7755 alpha=90.00 beta=90.00 gamma=90.00
Last column: nearest neighbours and their distance in Å.
Space group Immm (No. 71)
Unique sites:
Ba 0.0000 0.0000 0.0000  2 Ba 2.94, 4 Se 2.98
W 0.0000 0.5000 0.2074  2 Se 2.67, 2 W 2.94
Se 0.0000 0.0000 0.5000  4 W 2.67, 2 Se 2.94, 4 Ba 2.98

Results
**Final energy**: -7.552 eV/atom
**Uncorrected formation energy**: 3.405 eV per formula unit

---

No. 8
Ba2WSe | PBEsol | relaxed

Unit cell a=3.9194 b=3.9194 c=8.0288 alpha=90.00 beta=90.00 gamma=90.00
Last column: nearest neighbours and their distance in Å.
Space group P4/mmm (No. 123)
Unique sites:
Ba 0.0000 0.0000 0.2335  4 Se 3.35, 4 W 3.50
W 0.5000 0.5000 0.5000  8 Ba 3.50, 4 W 3.92
Se 0.5000 0.5000 0.0000  8 Ba 3.35

Results
**Final energy**: -5.169 eV/atom
**Uncorrected formation energy**: 1.281 eV per formula unit

---

No. 9
Ba2WSe | PBEsol | relaxed

Unit cell a=4.1930 b=4.1930 c=26.4487 alpha=90.00 beta=90.00 gamma=120.00
Last column: nearest neighbours and their distance in Å.
Space group R-3m (No. 166, hexagonal axes)
Unique sites:
Ba 0.0000 0.0000 0.2441  3 Se 3.17, 3 W 3.38
W 0.0000 0.0000 0.0000  6 Ba 3.38
Se 0.0000 0.0000 0.5000  6 Ba 3.17

Results
**Final energy**: -5.052 eV/atom
**Uncorrected formation energy**: 1.746 eV per formula unit

---

No. 10
BaY2Se | PBEsol | relaxed

Unit cell a=4.6502 b=4.6502 c=10.9454 alpha=90.00 beta=90.00 gamma=90.00
Last column: nearest neighbours and their distance in Å.
Space group I4/mmm (No. 139)
Unique sites:
Ba 0.0000 0.0000 0.0000  4 Se 3.29, 8 Y 3.59
Y 0.0000 0.5000 0.2500  4 Y 3.29, 4 Ba 3.59, 4 Se 3.59
Se 0.0000 0.0000 0.5000  4 Ba 3.29, 8 Y 3.59

Results
**Final energy**: -5.236 eV/atom
**Uncorrected formation energy**: -1.299 eV per formula unit

---

No. 11
BaYSe | PBEsol | relaxed

Unit cell a=4.0596 b=4.0596 c=7.2487 alpha=90.00 beta=90.00 gamma=120.00
Last column: nearest neighbours and their distance in Å.
Space group P3m1 (No. 156)
Unique sites:
Ba 0.0000 0.0000 0.0000  3 Se 3.18
Y 0.6667 0.3333 0.4853  3 Se 2.82
Se 0.3333 0.6667 0.7026  3 Y 2.82

Results
**Final energy**: -5.345 eV/atom
**Uncorrected formation energy**: -3.214 eV per formula unit

---

No. 12
BaY2Se | PBEsol | relaxed

Unit cell a=4.6849 b=4.6849 c=10.4794 alpha=90.00 beta=90.00 gamma=90.00
Last column: nearest neighbours and their distance in Å.
Space group I-4m2 (No. 119)
Unique sites:
Ba 0.0000 0.0000 0.0000  8 Y 3.31-3.51, 4 Se 3.51
Y 0.0000 0.0000 0.5000  4 Ba 3.31, 4 Se 3.51, 4 Y 3.51
Y 0.0000 0.5000 0.7500  4 Se 3.31, 4 Ba 3.51, 4 Y 3.51
Se 0.0000 0.5000 0.2500  8 Y 3.31-3.51, 4 Ba 3.51

Results
**Final energy**: -5.159 eV/atom
**Uncorrected formation energy**: -0.992 eV per formula unit

---

No. 13
Ba2YSe | PBEsol | relaxed

Unit cell a=13.5134 b=3.8898 c=6.0399 alpha=90.00 beta=113.34 gamma=90.00
Last column: nearest neighbours and their distance in Å.
Space group Cm (No. 8)
Unique sites:
Ba 0.0000 0.0000 0.0000  4 Se 3.46-3.79, 1 Y 3.63, 2 Ba 3.72-3.82
Ba 0.1821 0.0000 0.6505  2 Se 3.37, 1 Ba 3.72
Y 0.3007 0.5000 0.2632  2 Se 2.84
Se 0.4614 0.0000 0.4984  2 Y 2.84

Results
**Final energy**: -4.436 eV/atom
**Uncorrected formation energy**: -2.775 eV per formula unit

---

No. 14
BaY2Se | PBEsol | relaxed

Unit cell a=3.8331 b=3.8331 c=8.5214 alpha=90.00 beta=90.00 gamma=90.00
Last column: nearest neighbours and their distance in Å.
Space group P4mm (No. 99)
Unique sites:
Ba 0.0000 0.0000 0.0000  1 Y 3.51, 4 Se 3.68, 4 Ba 3.83
Y 0.0000 0.0000 0.4124  4 Se 2.90
Y 0.5000 0.5000 0.6587  1 Se 3.12, 4 Y 3.43
Se 0.5000 0.5000 0.2930  5 Y 2.90-3.12

Results
**Final energy**: -5.667 eV/atom
**Uncorrected formation energy**: -3.024 eV per formula unit

---

No. 15
BaY2Se4 | PBEsol | relaxed

Unit cell a=12.6053 b=4.1541 c=15.0022 alpha=90.00 beta=90.00 gamma=90.00
Last column: nearest neighbours and their distance in Å.
Space group Pnma (No. 62)
Unique sites:
Ba 0.2410 0.2500 0.1649  8 Se 3.28-3.46
Y 0.0663 0.2500 0.3923  6 Se 2.80-2.86
Y 0.0782 0.2500 0.9001  6 Se 2.81-2.87
Se 0.0230 0.7500 0.7827  3 Y 2.81-2.86
Se 0.0846 0.2500 0.5784  3 Y 2.80-2.85
Se 0.1281 0.7500 0.0244  3 Y 2.84-2.86
Se 0.2072 0.7500 0.3360  3 Y 2.86-2.87

Results
**Final energy**: -6.455 eV/atom
**Uncorrected formation energy**: -13.990 eV per formula unit

---

No. 16
Ba3YSe | PBEsol | relaxed

Unit cell a=6.0445 b=6.0445 c=6.0445 alpha=90.00 beta=90.00 gamma=90.00
Last column: nearest neighbours and their distance in Å.
Space group Pm-3m (No. 221)
Unique sites:
Ba 0.0000 0.0000 0.5000  2 Y 3.02
Y 0.0000 0.0000 0.0000  6 Ba 3.02
Se 0.5000 0.5000 0.5000  12 Ba 4.27

Results
**Final energy**: -3.052 eV/atom
**Uncorrected formation energy**: 1.860 eV per formula unit

---

No. 17
Ba4YSe | PBEsol | relaxed

Unit cell a=10.0945 b=10.0945 c=10.0945 alpha=90.00 beta=90.00 gamma=90.00
Last column: nearest neighbours and their distance in Å.
Space group F-43m (No. 216)
Unique sites:
Ba 0.1239 0.1239 0.3761  6 Ba 3.54-3.60
Y 0.0000 0.0000 0.0000  12 Ba 4.19, 4 Se 4.37
Se 0.2500 0.2500 0.7500  12 Ba 4.18, 4 Y 4.37

Results
**Final energy**: -2.910 eV/atom
**Uncorrected formation energy**: 1.810 eV per formula unit

---

No. 18
BaY3Se | PBEsol | relaxed

Unit cell a=5.5150 b=5.5150 c=5.5150 alpha=90.00 beta=90.00 gamma=90.00
Last column: nearest neighbours and their distance in Å.
Space group Pm-3m (No. 221)
Unique sites:
Ba 0.0000 0.0000 0.0000  12 Y 3.90
Y 0.0000 0.5000 0.5000  2 Se 2.76
Se 0.5000 0.5000 0.5000  6 Y 2.76

Results
**Final energy**: -5.740 eV/atom
**Uncorrected formation energy**: -2.232 eV per formula unit

---

No. 19
BaY2Se | PBEsol | relaxed

Unit cell a=12.3475 b=3.7127 c=6.5940 alpha=90.00 beta=121.64 gamma=90.00
Last column: nearest neighbours and their distance in Å.
Space group Cm (No. 8)
Unique sites:
Ba 0.0000 0.0000 0.0000  3 Se 3.33-3.39, 1 Y 3.53, 2 Ba 3.71
Y 0.1321 0.5000 0.6274  2 Se 2.84
Y 0.3331 0.5000 0.3711  2 Se 2.82
Se 0.2707 0.0000 0.0032  4 Y 2.82-2.84

Results
**Final energy**: -5.615 eV/atom
**Uncorrected formation energy**: -2.816 eV per formula unit

---

No. 20
BaZn2Se | PBEsol | relaxed

Unit cell a=3.9963 b=3.9944 c=6.3711 alpha=90.00 beta=90.09 gamma=90.00
Last column: nearest neighbours and their distance in Å.
Space group Pm (No. 6)
Unique sites:
Ba 0.0000 0.0000 0.0000  4 Se 3.19, 4 Zn 3.45
Zn 0.0020 0.5000 0.4408  4 Zn 2.83, 2 Se 2.87-2.89
Zn 0.5020 0.0000 0.4414  4 Zn 2.83, 2 Se 2.88
Se 0.4995 0.5000 0.7671  4 Zn 2.87-2.89, 4 Ba 3.19

Results
**Final energy**: -2.879 eV/atom
**Uncorrected formation energy**: -2.354 eV per formula unit